Run a
Here is a relaxed structure of TaP2HCl from Alexandria via LeMat-Bulk. Energies are from GGA-PBE. Values from VASP.

Geometry as Quantum ESPRESSO input:
```
&SYSTEM
  ibrav = 0, nat = 5, ntyp = 4
/
ATOMIC_SPECIES
Ta 180.95 Ta.upf
H 1.01 H.upf
Cl 35.45 Cl.upf
P 30.97 P.upf
ATOMIC_POSITIONS crystal
Ta 0.000 0.000 0.000
H 0.500 0.500 0.500
Cl 0.000 0.000 0.500
P 0.000 0.500 0.000
P 0.500 0.000 0.000
CELL_PARAMETERS angstrom
-4.801 -0.019 -0.047
-0.033 -2.170 4.282
-0.040 4.512 2.286
```

Output
crystal system: tetragonal
M_tot: 0.9 μB/cell
calculated density: 4.0 Mg/m³
symmetry: P4/mmm

***

Run b
Here is a relaxed structure of TaP2HCl from Alexandria via LeMat-Bulk. Energies are from GGA-PBE. Values from VASP.

Geometry as Quantum ESPRESSO input:
```
&SYSTEM
  ibrav = 0, nat = 5, ntyp = 4
/
ATOMIC_SPECIES
Cl 35.45 Cl.upf
H 1.01 H.upf
Ta 180.95 Ta.upf
P 30.97 P.upf
ATOMIC_POSITIONS crystal
Cl 0.000 0.000 0.500
H 0.000 0.000 0.000
Ta 0.500 0.500 0.500
P 0.500 0.000 0.000
P 0.000 0.500 0.000
CELL_PARAMETERS angstrom
-2.175 -2.434 1.824
0.071 -2.282 -2.961
3.838 -2.130 1.734
```

Output
crystal system: tetragonal
M_tot: 0.0 μB/cell
calculated density: 7.0 Mg/m³
symmetry: P4/mmm

***

Which of them is most stable? Easy: run a.

***

Run a
Here is a relaxed structure of Tc2PHCl from Alexandria via LeMat-Bulk. Energies are from GGA-PBE. Values from VASP.

Geometry as Quantum ESPRESSO input:
```
&SYSTEM
  ibrav = 0, nat = 5, ntyp = 4
/
ATOMIC_SPECIES
H 1.01 H.upf
Cl 35.45 Cl.upf
Tc 98.00 Tc.upf
P 30.97 P.upf
ATOMIC_POSITIONS crystal
H 0.500 0.500 0.500
Cl 0.000 0.000 0.000
Tc 0.500 0.000 0.000
Tc 0.000 0.000 0.500
P 0.000 0.500 0.000
CELL_PARAMETERS angstrom
4.389 0.000 0.000
0.000 4.568 0.000
0.000 0.000 4.389
```

Output
crystal system: tetragonal
M_tot: 2.2 μB/cell
calculated density: 5.0 Mg/m³
symmetry: P4/mmm

***

Run b
Here is a relaxed structure of Tc2PHCl from Alexandria via LeMat-Bulk. Energies are from GGA-PBE. Values from VASP.

Geometry as Quantum ESPRESSO input:
```
&SYSTEM
  ibrav = 0, nat = 5, ntyp = 4
/
ATOMIC_SPECIES
P 30.97 P.upf
H 1.01 H.upf
Cl 35.45 Cl.upf
Tc 98.00 Tc.upf
ATOMIC_POSITIONS crystal
P 0.000 0.500 0.000
H 0.000 0.000 0.000
Cl 0.500 0.500 0.500
Tc 0.500 0.000 0.000
Tc 0.000 0.000 0.500
CELL_PARAMETERS angstrom
-3.741 0.180 -2.023
1.531 -0.273 -2.856
-0.328 -4.238 0.229
```

Output
crystal system: tetragonal
M_tot: 0.0 μB/cell
calculated density: 7.4 Mg/m³
symmetry: P4/mmm

***

Which of them is most stable? Easy: run b.

***

Run a
Here is a relaxed structure of TePHCl2 from Alexandria via LeMat-Bulk. Energies are from GGA-PBE. Values from VASP.

Geometry as Quantum ESPRESSO input:
```
&SYSTEM
  ibrav = 0, nat = 5, ntyp = 4
/
ATOMIC_SPECIES
Cl 35.45 Cl.upf
H 1.01 H.upf
Te 127.60 Te.upf
P 30.97 P.upf
ATOMIC_POSITIONS crystal
Cl 0.500 0.000 0.000
Cl 0.000 0.500 0.000
H 0.000 0.000 0.000
Te 0.500 0.500 0.500
P 0.000 0.000 0.500
CELL_PARAMETERS angstrom
4.303 0.000 0.000
0.000 4.303 0.000
0.000 0.000 4.624
```

Output
crystal system: tetragonal
M_tot: 0.0 μB/cell
calculated density: 4.5 Mg/m³
symmetry: P4/mmm

***

Run b
Here is a relaxed structure of TePHCl2 from Alexandria via LeMat-Bulk. Energies are from GGA-PBE. Values from VASP.

Geometry as Quantum ESPRESSO input:
```
&SYSTEM
  ibrav = 0, nat = 5, ntyp = 4
/
ATOMIC_SPECIES
Te 127.60 Te.upf
P 30.97 P.upf
Cl 35.45 Cl.upf
H 1.01 H.upf
ATOMIC_POSITIONS crystal
Te 0.000 0.000 0.000
P 0.000 0.000 0.500
Cl 0.000 0.500 0.000
Cl 0.500 0.000 0.000
H 0.500 0.500 0.500
CELL_PARAMETERS angstrom
-1.700 1.561 -4.954
4.895 -1.263 -2.077
-1.628 -4.760 -0.941
```

Output
crystal system: tetragonal
M_tot: 2.1 μB/cell
calculated density: 2.5 Mg/m³
symmetry: P4/mmm

***

Which of them is most stable? Easy: run a.

***

Run a
Here is a relaxed structure of VP2HCl from Alexandria via LeMat-Bulk. Energies are from GGA-PBE. Values from VASP.

Geometry as Quantum ESPRESSO input:
```
&SYSTEM
  ibrav = 0, nat = 5, ntyp = 4
/
ATOMIC_SPECIES
Cl 35.45 Cl.upf
H 1.01 H.upf
P 30.97 P.upf
V 50.94 V.upf
ATOMIC_POSITIONS crystal
Cl 0.000 0.000 0.500
H 0.500 0.500 0.500
P 0.000 0.500 0.000
P 0.500 0.000 0.000
V 0.000 0.000 0.000
CELL_PARAMETERS angstrom
-3.882 2.094 0.777
-1.908 -3.919 1.029
1.292 0.625 4.775
```

Output
crystal system: tetragonal
M_tot: 0.9 μB/cell
calculated density: 2.5 Mg/m³
symmetry: P4/mmm

***

Run b
Here is a relaxed structure of VP2HCl from Alexandria via LeMat-Bulk. Energies are from GGA-PBE. Values from VASP.

Geometry as Quantum ESPRESSO input:
```
&SYSTEM
  ibrav = 0, nat = 5, ntyp = 4
/
ATOMIC_SPECIES
P 30.97 P.upf
V 50.94 V.upf
Cl 35.45 Cl.upf
H 1.01 H.upf
ATOMIC_POSITIONS crystal
P 0.000 0.500 0.000
P 0.500 0.000 0.000
V 0.500 0.500 0.500
Cl 0.000 0.000 0.500
H 0.000 0.000 0.000
CELL_PARAMETERS angstrom
3.622 0.000 0.000
0.000 3.622 0.000
0.000 0.000 4.977
```

Output
crystal system: tetragonal
M_tot: 0.0 μB/cell
calculated density: 3.8 Mg/m³
symmetry: P4/mmm

***

Which of them is most stable? Easy: run a.

***

Run a
Here is a relaxed structure of VPHCl2 from Alexandria via LeMat-Bulk. Energies are from GGA-PBE. Values from VASP.

Geometry as Quantum ESPRESSO input:
```
&SYSTEM
  ibrav = 0, nat = 5, ntyp = 4
/
ATOMIC_SPECIES
H 1.01 H.upf
P 30.97 P.upf
Cl 35.45 Cl.upf
V 50.94 V.upf
ATOMIC_POSITIONS crystal
H 0.000 0.000 0.000
P 0.000 0.000 0.500
Cl 0.000 0.500 0.000
Cl 0.500 0.000 0.000
V 0.500 0.500 0.500
CELL_PARAMETERS angstrom
4.723 0.000 0.000
0.000 4.723 0.000
0.000 0.000 3.234
```

Output
crystal system: tetragonal
M_tot: 0.1 μB/cell
calculated density: 3.5 Mg/m³
symmetry: P4/mmm

***

Run b
Here is a relaxed structure of VPHCl2 from Alexandria via LeMat-Bulk. Energies are from GGA-PBE. Values from VASP.

Geometry as Quantum ESPRESSO input:
```
&SYSTEM
  ibrav = 0, nat = 5, ntyp = 4
/
ATOMIC_SPECIES
Cl 35.45 Cl.upf
V 50.94 V.upf
H 1.01 H.upf
P 30.97 P.upf
ATOMIC_POSITIONS crystal
Cl 0.000 0.500 0.000
Cl 0.500 0.000 0.000
V 0.000 0.000 0.000
H 0.500 0.500 0.500
P 0.000 0.000 0.500
CELL_PARAMETERS angstrom
4.750 0.000 0.000
0.000 4.750 0.000
0.000 0.000 4.711
```

Output
crystal system: tetragonal
M_tot: 1.1 μB/cell
calculated density: 2.4 Mg/m³
symmetry: P4/mmm

***

Which of them is most stable? Easy: run b.

***

Run a
Here is a relaxed structure of P2HWCl from Alexandria via LeMat-Bulk. Energies are from GGA-PBE. Values from VASP.

Geometry as Quantum ESPRESSO input:
```
&SYSTEM
  ibrav = 0, nat = 5, ntyp = 4
/
ATOMIC_SPECIES
H 1.01 H.upf
P 30.97 P.upf
Cl 35.45 Cl.upf
W 183.84 W.upf
ATOMIC_POSITIONS crystal
H 0.000 0.000 0.000
P 0.500 0.000 0.000
P 0.000 0.500 0.000
Cl 0.000 0.000 0.500
W 0.500 0.500 0.500
CELL_PARAMETERS angstrom
3.745 0.000 0.000
0.000 3.745 0.000
0.000 0.000 4.674
```

Output
crystal system: tetragonal
M_tot: 1.8 μB/cell
calculated density: 7.1 Mg/m³
symmetry: P4/mmm

***

Run b
Here is a relaxed structure of P2HWCl from Alexandria via LeMat-Bulk. Energies are from GGA-PBE. Values from VASP.

Geometry as Quantum ESPRESSO input:
```
&SYSTEM
  ibrav = 0, nat = 5, ntyp = 4
/
ATOMIC_SPECIES
Cl 35.45 Cl.upf
P 30.97 P.upf
H 1.01 H.upf
W 183.84 W.upf
ATOMIC_POSITIONS crystal
Cl 0.000 0.000 0.500
P 0.500 0.000 0.000
P 0.000 0.500 0.000
H 0.500 0.500 0.500
W 0.000 0.000 0.000
CELL_PARAMETERS angstrom
-3.768 -2.065 -1.812
2.371 -3.998 -0.375
-1.491 -1.316 4.601
```

Output
crystal system: tetragonal
M_tot: 0.6 μB/cell
calculated density: 4.3 Mg/m³
symmetry: P4/mmm

***

Which of them is most stable? Easy: run b.